--- w ---
# YNbAlCu

An optimized crystal structure of YNbAlCu (PBE-GGA, the Open Quantum Materials Database).

a b c (Å): 6.763 6.763 6.763
angles (deg): 90.00 90.00 90.00
Space group F-43m (No. 216)
Inequivalent atoms, fractional coordinates:
1 Y 0.000 0.000 0.000
2 Nb 0.250 0.250 0.250
3 Al 0.000 0.000 0.500
4 Cu 0.250 0.250 0.750

Computed properties:
Crystal system: cubic



--- x ---
# YNbAlCu

An optimized crystal structure of YNbAlCu (PBE-GGA, the Open Quantum Materials Database).

a b c (Å): 6.779 6.779 6.779
angles (deg): 90.00 90.00 90.00
Space group F-43m (No. 216)
Inequivalent atoms, fractional coordinates:
1 Y 0.000 0.000 0.000
2 Nb 0.250 0.250 0.750
3 Al 0.250 0.250 0.250
4 Cu 0.000 0.000 0.500

Computed properties:
Crystal system: cubic



Here are the energies relative to the best structure, in kJ/mol of atoms: w 0.0; x 15.2.